Record 1
VASP calculation (PBE) on a relaxed structure of PrDy2Pt2.

Properties
The energy above the most stable polymorph in this dataset comes out at 0.51 eV/f.u. The calculation puts the energy of formation from the pure elements at -86.72 kJ/mol of atoms.

a = 4.704 Å, b = 4.704 Å, c = 6.721 Å
α = 110.17°, β = 110.17°, γ = 89.95°
Element x y z (fractional)
Pr  0.000  0.000  0.000
Dy  0.250  0.750  0.500
Dy  0.750  0.250  0.500
Pt  0.384  0.384  0.773
Pt  0.616  0.616  0.227

***

Record 2
VASP calculation (PBE) on a relaxed structure of Pm2Y2Bi5.

Properties
The calculation puts the energy of formation from the pure elements at -66.56 kJ/mol of atoms.

a = 9.120 Å, b = 9.120 Å, c = 8.514 Å
α = 90.00°, β = 90.00°, γ = 54.17°
Element x y z (fractional)
Pm  0.192  0.192  0.000
Pm  0.308  0.308  0.500
Pm  0.692  0.692  0.500
Pm  0.808  0.808  0.000
Y  0.155  0.845  0.659
Y  0.345  0.655  0.159
Y  0.655  0.345  0.841
Y  0.845  0.155  0.341
Bi  0.000  0.000  0.000
Bi  0.011  0.712  0.350
Bi  0.212  0.511  0.850
Bi  0.288  0.989  0.350
Bi  0.489  0.788  0.850
Bi  0.500  0.500  0.500
Bi  0.511  0.212  0.150
Bi  0.712  0.011  0.650
Bi  0.788  0.489  0.150
Bi  0.989  0.288  0.650

***

Record 3
VASP calculation (PBE) on a relaxed structure of Cr5P4.

Properties
The calculation puts the energy of formation from the pure elements at -23.26 kJ/mol of atoms.

a = 7.213 Å, b = 7.213 Å, c = 4.569 Å
α = 90.00°, β = 90.00°, γ = 120.00°
Element x y z (fractional)
Cr  0.000  0.284  0.250
Cr  0.000  0.716  0.750
Cr  0.284  0.000  0.250
Cr  0.284  0.284  0.750
Cr  0.333  0.667  0.000
Cr  0.333  0.667  0.500
Cr  0.667  0.333  0.000
Cr  0.667  0.333  0.500
Cr  0.716  0.000  0.750
Cr  0.716  0.716  0.250
P  0.000  0.000  0.000
P  0.000  0.000  0.500
P  0.000  0.392  0.750
P  0.000  0.608  0.250
P  0.392  0.000  0.750
P  0.392  0.392  0.250
P  0.608  0.000  0.250
P  0.608  0.608  0.750

***

Record 4
VASP calculation (PBE) on a relaxed structure of Sm3Pd2Au.

Properties
The calculation puts the energy of formation from the pure elements at -68.39 kJ/mol of atoms.

a = 7.776 Å, b = 7.776 Å, c = 7.776 Å
α = 58.01°, β = 58.01°, γ = 58.01°
Element x y z (fractional)
Sm  0.050  0.750  0.450
Sm  0.250  0.550  0.950
Sm  0.450  0.050  0.750
Sm  0.550  0.950  0.250
Sm  0.750  0.450  0.050
Sm  0.950  0.250  0.550
Pd  0.150  0.150  0.150
Pd  0.350  0.350  0.350
Pd  0.650  0.650  0.650
Pd  0.850  0.850  0.850
Au  0.000  0.000  0.000
Au  0.500  0.500  0.500

***

Record 5
VASP calculation (PBE) on a relaxed structure of BaNd2CuO5.

Properties
The energy above the most stable polymorph in this dataset comes out at 0.44 eV/f.u. The raw formation energy comes out at -2.52 eV per atom.

a = 7.577 Å, b = 7.577 Å, c = 7.577 Å
α = 126.82°, β = 126.82°, γ = 78.54°
Element x y z (fractional)
Ba  0.250  0.250  0.000
Ba  0.750  0.750  0.000
Nd  0.172  0.672  0.845
Nd  0.328  0.172  0.500
Nd  0.672  0.828  0.500
Nd  0.828  0.328  0.155
Cu  0.250  0.750  0.500
Cu  0.750  0.250  0.500
O  0.000  0.000  0.000
O  0.013  0.230  0.500
O  0.230  0.730  0.217
O  0.270  0.487  0.500
O  0.487  0.987  0.217
O  0.500  0.500  0.000
O  0.513  0.013  0.783
O  0.730  0.513  0.500
O  0.770  0.270  0.783
O  0.987  0.770  0.500

***

Record 6
VASP calculation (PBE) on a relaxed structure of SrGe2Ir.

Properties
The calculation puts the energy of formation from the pure elements at -29.15 kJ/mol of atoms.

a = 4.788 Å, b = 4.682 Å, c = 4.682 Å
α = 87.63°, β = 90.00°, γ = 90.00°
Element x y z (fractional)
Sr  0.000  0.000  0.000
Ge  0.500  0.475  0.849
Ge  0.500  0.849  0.475
Ir  0.500  0.340  0.340

***

For reference, electronic total energy by record: -30.56, -96.09, -143.85, -64.15, -126.12, -20.99 eV for the cell shown.